i) # KGeCl, relaxed, DFT PBE
# * total magnetization: 0.000 μB per formula unit
# * DOS at the Fermi energy: 0.05 states/eV per cell
data_KGeCl
_cell_length_a 4.1895
_cell_length_b 4.1895
_cell_length_c 11.8171
_cell_angle_alpha 90.00
_cell_angle_beta 90.00
_cell_angle_gamma 120.00
_symmetry_space_group_name_H-M 'P 3 m 1'
_symmetry_Int_Tables_number 156
_symmetry_space_group_name_Hall 'P 3 -2"'
loop_
_atom_site_label
_atom_site_type_symbol
_atom_site_fract_x
_atom_site_fract_y
_atom_site_fract_z
_atom_site_occupancy
K1 K 0.0000 0.0000 0.0000 1
K2 K 0.0000 0.0000 0.3385 1
Ge1 Ge 0.3333 0.6667 0.7748 1
Ge2 Ge 0.6667 0.3333 0.7052 1
Cl1 Cl 0.3333 0.6667 0.1640 1
Cl2 Cl 0.6667 0.3333 0.4932 1


ii) # KGeCl, relaxed, DFT PBE
# * total magnetization: 0.000 μB per formula unit
# * DOS at the Fermi energy: 0.65 states/eV per cell
data_KGeCl
_cell_length_a 5.2988
_cell_length_b 5.2971
_cell_length_c 11.8671
_cell_angle_alpha 90.00
_cell_angle_beta 102.68
_cell_angle_gamma 90.00
_symmetry_space_group_name_H-M 'C 1 m 1'
_symmetry_Int_Tables_number 8
_symmetry_space_group_name_Hall 'C -2y'
loop_
_atom_site_label
_atom_site_type_symbol
_atom_site_fract_x
_atom_site_fract_y
_atom_site_fract_z
_atom_site_occupancy
K1 K 0.0000 0.0000 0.0000 1
K2 K 0.1608 0.0000 0.3324 1
Ge1 Ge 0.2951 0.5000 0.5819 1
Ge2 Ge 0.3249 0.0000 0.6423 1
Cl1 Cl 0.0877 0.5000 0.1839 1
Cl2 Cl 0.4322 0.0000 0.8619 1


iii) # KGeCl, relaxed, DFT PBE
# * total magnetization: 0.000 μB per formula unit
# * DOS at the Fermi energy: 0.02 states/eV per cell
data_KGeCl
_cell_length_a 4.1819
_cell_length_b 4.1819
_cell_length_c 12.1820
_cell_angle_alpha 80.20
_cell_angle_beta 80.15
_cell_angle_gamma 60.00
_symmetry_space_group_name_H-M 'P 1'
_symmetry_Int_Tables_number 1
_symmetry_space_group_name_Hall 'P 1'
loop_
_atom_site_label
_atom_site_type_symbol
_atom_site_fract_x
_atom_site_fract_y
_atom_site_fract_z
_atom_site_occupancy
K1 K 0.0000 0.0000 0.0000 1
K2 K 0.1125 0.1099 0.6647 1
Ge1 Ge 0.2136 0.2146 0.3622 1
Ge2 Ge 0.8568 0.8580 0.4326 1
Cl1 Cl 0.2824 0.2832 0.1529 1
Cl2 Cl 0.7248 0.7233 0.8265 1


Top of the stability list: i), leading by 10 meV/atom.


i) # KGeCl, relaxed, DFT PBE
# * total magnetization: 0.000 μB per formula unit
# * DOS at the Fermi energy: 0.04 states/eV per cell
data_KGeCl
_cell_length_a 4.1945
_cell_length_b 4.1945
_cell_length_c 11.8839
_cell_angle_alpha 90.00
_cell_angle_beta 90.00
_cell_angle_gamma 120.00
_symmetry_space_group_name_H-M 'P 3 m 1'
_symmetry_Int_Tables_number 156
_symmetry_space_group_name_Hall 'P 3 -2"'
loop_
_atom_site_label
_atom_site_type_symbol
_atom_site_fract_x
_atom_site_fract_y
_atom_site_fract_z
_atom_site_occupancy
K1 K 0.0000 0.0000 0.0000 1
K2 K 0.3333 0.6667 0.6677 1
Ge1 Ge 0.3333 0.6667 0.3632 1
Ge2 Ge 0.6667 0.3333 0.4336 1
Cl1 Cl 0.3333 0.6667 0.1526 1
Cl2 Cl 0.6667 0.3333 0.8281 1


ii) # KGeCl, relaxed, DFT PBE
# * total magnetization: 0.000 μB per formula unit
# * DOS at the Fermi energy: 0.24 states/eV per cell
data_KGeCl
_cell_length_a 4.2071
_cell_length_b 4.2071
_cell_length_c 35.0655
_cell_angle_alpha 90.00
_cell_angle_beta 90.00
_cell_angle_gamma 120.00
_symmetry_space_group_name_H-M 'R 3 m'
_symmetry_Int_Tables_number 160
_symmetry_space_group_name_Hall 'R 3 -2"'
loop_
_atom_site_label
_atom_site_type_symbol
_atom_site_fract_x
_atom_site_fract_y
_atom_site_fract_z
_atom_site_occupancy
K1 K 0.0000 0.0000 0.0000 1
K2 K 0.0000 0.0000 0.2216 1
Ge1 Ge 0.0000 0.0000 0.4085 1
Ge2 Ge 0.0000 0.0000 0.7650 1
Cl1 Cl 0.0000 0.0000 0.6126 1
Cl2 Cl 0.0000 0.0000 0.8364 1


Top of the stability list: ii), leading by 14 meV/atom.


i) # KGe3Cl, relaxed, DFT PBE
# * total magnetization: 0.000 μB per formula unit
# * DOS at the Fermi energy: 2.31 states/eV per cell
data_KGe3Cl
_cell_length_a 5.2057
_cell_length_b 5.2057
_cell_length_c 5.2057
_cell_angle_alpha 90.00
_cell_angle_beta 90.00
_cell_angle_gamma 90.00
_symmetry_space_group_name_H-M 'P m -3 m'
_symmetry_Int_Tables_number 221
_symmetry_space_group_name_Hall '-P 4 2 3'
loop_
_atom_site_label
_atom_site_type_symbol
_atom_site_fract_x
_atom_site_fract_y
_atom_site_fract_z
_atom_site_occupancy
K1 K 0.0000 0.0000 0.0000 1
Ge1 Ge 0.0000 0.5000 0.5000 1
Cl1 Cl 0.5000 0.5000 0.5000 1


ii) # KGe3Cl, relaxed, DFT PBE
# * total magnetization: 2.666 μB per formula unit
# * DOS at the Fermi energy: 6.98 states/eV per cell
data_KGe3Cl
_cell_length_a 5.8112
_cell_length_b 5.8112
_cell_length_c 5.8112
_cell_angle_alpha 90.00
_cell_angle_beta 90.00
_cell_angle_gamma 90.00
_symmetry_space_group_name_H-M 'P m -3 m'
_symmetry_Int_Tables_number 221
_symmetry_space_group_name_Hall '-P 4 2 3'
loop_
_atom_site_label
_atom_site_type_symbol
_atom_site_fract_x
_atom_site_fract_y
_atom_site_fract_z
_atom_site_occupancy
K1 K 0.0000 0.0000 0.0000 1
Ge1 Ge 0.0000 0.0000 0.5000 1
Cl1 Cl 0.5000 0.5000 0.5000 1


Top of the stability list: i), leading by 943 meV/atom.


i) # KGe2Cl, relaxed, DFT PBE
# * total magnetization: 0.000 μB per formula unit
# * DOS at the Fermi energy: 14.65 states/eV per cell
data_KGe2Cl
_cell_length_a 7.5001
_cell_length_b 7.5001
_cell_length_c 7.5001
_cell_angle_alpha 90.00
_cell_angle_beta 90.00
_cell_angle_gamma 90.00
_symmetry_space_group_name_H-M 'F m -3 m'
_symmetry_Int_Tables_number 225
_symmetry_space_group_name_Hall '-F 4 2 3'
loop_
_atom_site_label
_atom_site_type_symbol
_atom_site_fract_x
_atom_site_fract_y
_atom_site_fract_z
_atom_site_occupancy
K1 K 0.0000 0.0000 0.0000 1
Ge1 Ge 0.2500 0.2500 0.2500 1
Cl1 Cl 0.0000 0.0000 0.5000 1


ii) # KGe2Cl, relaxed, DFT PBE
# * total magnetization: 0.000 μB per formula unit
# * DOS at the Fermi energy: 4.79 states/eV per cell
data_KGe2Cl
_cell_length_a 3.9679
_cell_length_b 3.9679
_cell_length_c 32.3350
_cell_angle_alpha 90.00
_cell_angle_beta 90.00
_cell_angle_gamma 90.00
_symmetry_space_group_name_H-M 'I -4 2 d'
_symmetry_Int_Tables_number 122
_symmetry_space_group_name_Hall 'I -4 2bw'
loop_
_atom_site_label
_atom_site_type_symbol
_atom_site_fract_x
_atom_site_fract_y
_atom_site_fract_z
_atom_site_occupancy
K1 K 0.0000 0.0000 0.0000 1
Ge1 Ge 0.2264 0.2500 0.1250 1
Cl1 Cl 0.0000 0.0000 0.5000 1


Top of the stability list: ii), leading by 863 meV/atom.


i) # KGeS2Cl, relaxed, DFT PBE
# * total magnetization: 2.014 μB per formula unit
# * DOS at the Fermi energy: 5.59 states/eV per cell
data_KGeS2Cl
_cell_length_a 5.5186
_cell_length_b 5.5186
_cell_length_c 5.4060
_cell_angle_alpha 90.00
_cell_angle_beta 90.00
_cell_angle_gamma 90.00
_symmetry_space_group_name_H-M 'P 4/m m m'
_symmetry_Int_Tables_number 123
_symmetry_space_group_name_Hall '-P 4 2'
loop_
_atom_site_label
_atom_site_type_symbol
_atom_site_fract_x
_atom_site_fract_y
_atom_site_fract_z
_atom_site_occupancy
K1 K 0.0000 0.0000 0.0000 1
Ge1 Ge 0.5000 0.5000 0.5000 1
S1 S 0.0000 0.5000 0.0000 1
Cl1 Cl 0.0000 0.0000 0.5000 1


ii) # KGeS2Cl, relaxed, DFT PBE
# * total magnetization: 0.000 μB per formula unit
# * DOS at the Fermi energy: 0.51 states/eV per cell
data_KGeS2Cl
_cell_length_a 4.7367
_cell_length_b 4.7367
_cell_length_c 5.4558
_cell_angle_alpha 90.00
_cell_angle_beta 90.00
_cell_angle_gamma 90.00
_symmetry_space_group_name_H-M 'P 4/m m m'
_symmetry_Int_Tables_number 123
_symmetry_space_group_name_Hall '-P 4 2'
loop_
_atom_site_label
_atom_site_type_symbol
_atom_site_fract_x
_atom_site_fract_y
_atom_site_fract_z
_atom_site_occupancy
K1 K 0.0000 0.0000 0.0000 1
Ge1 Ge 0.5000 0.5000 0.5000 1
S1 S 0.0000 0.5000 0.5000 1
Cl1 Cl 0.5000 0.5000 0.0000 1


Top of the stability list: ii), leading by 1313 meV/atom.


i) # La3GeCl, relaxed, DFT PBE
# * total magnetization: 0.410 μB per formula unit
# * DOS at the Fermi energy: 19.32 states/eV per cell
data_La3GeCl
_cell_length_a 11.7234
_cell_length_b 4.2212
_cell_length_c 12.3394
_cell_angle_alpha 90.00
_cell_angle_beta 90.00
_cell_angle_gamma 90.00
_symmetry_space_group_name_H-M 'P n m a'
_symmetry_Int_Tables_number 62
_symmetry_space_group_name_Hall '-P 2ac 2n'
loop_
_atom_site_label
_atom_site_type_symbol
_atom_site_fract_x
_atom_site_fract_y
_atom_site_fract_z
_atom_site_occupancy
La1 La 0.0631 0.2500 0.1229 1
La2 La 0.1012 0.7500 0.5719 1
La3 La 0.2256 0.2500 0.8101 1
Ge1 Ge 0.0110 0.7500 0.2947 1
Cl1 Cl 0.1806 0.7500 0.9796 1


ii) # La3GeCl, relaxed, DFT PBE
# * total magnetization: 0.000 μB per formula unit
# * DOS at the Fermi energy: 44.45 states/eV per cell
data_La3GeCl
_cell_length_a 11.4250
_cell_length_b 12.0446
_cell_length_c 8.4937
_cell_angle_alpha 90.00
_cell_angle_beta 91.22
_cell_angle_gamma 90.00
_symmetry_space_group_name_H-M 'C 1 2/c 1'
_symmetry_Int_Tables_number 15
_symmetry_space_group_name_Hall '-C 2yc'
loop_
_atom_site_label
_atom_site_type_symbol
_atom_site_fract_x
_atom_site_fract_y
_atom_site_fract_z
_atom_site_occupancy
La1 La 0.0658 0.1212 0.0534 1
La2 La 0.1194 0.4224 0.9237 1
La3 La 0.2429 0.1818 0.6886 1
Ge1 Ge 0.2028 0.0581 0.3633 1
Cl1 Cl 0.0000 0.2376 0.7500 1
Cl2 Cl 0.0000 0.3647 0.2500 1


Top of the stability list: ii), leading by 42 meV/atom.